TlCo2Re (SCAN, PBEsol geometry); formation enthalpy at 0 K = 0.65 eV/atom; excess energy over the best structure of this formula in the dataset = 59 meV/atom; D(E_F) = 1.38 states/eV/cell
1.0
4.287 0.000 0.000
2.143 3.712 0.000
2.143 1.237 3.500
Co Tl Re
2 1 1
Cartesian
2.143 1.237 0.875
6.430 3.712 2.625
4.287 2.475 1.750
0.000 0.000 0.000